Below is a relaxed structure of Li2TbGe, with properties calculated at the GGA-PBE level.

The space group is Fm-3m (No. 225) and the conventional cell measures 6.4966, 6.4966 and 6.4966 Å, with angles of 90.00, 90.00 and 90.00 degrees. The inequivalent atoms are Li at (0.2500, 0.2500, 0.2500), Tb at (0.0000, 0.0000, 0.0000) and Ge at (0.0000, 0.0000, 0.5000).

The total energy comes out at -57.82 eV for the cell shown. The crystal system is cubic. As for the energy relative to the elements: -0.35 eV per atom.